[1]
Material: Zn2AgAu
Method: DFT, PBE
State: relaxed

Cell and atoms, written as POSCAR:
```
Zn2AgAu
1.0
2.8877 0.0000 0.0000
0.0000 4.1348 0.0000
0.0000 0.0000 5.5125
Ag Au Zn
1 1 2
direct
0.0000 0.0000 0.4781 Ag
0.5000 0.5000 0.7726 Au
0.5000 0.5000 0.2614 Zn
0.0000 0.0000 0.9880 Zn
```

Output
The space-group type is Pmm2. As for the theoretical density: 11.0 Mg/m³. For the calculated total energy, the calculation gives -2.266 eV/atom.

=====

[2]
Material: Tb3Pm7Pr
Method: DFT, PBE
State: relaxed

Cell and atoms, written as POSCAR:
```
Tb3Pm7Pr
1.0
-2.7890 -5.7616 0.8549
5.5644 -3.9316 -3.7948
4.4410 -1.9154 6.1159
Pr Tb Pm
1 3 7
direct
0.5000 0.5000 0.5000 Pr
0.5000 0.0000 0.0000 Tb
0.0000 0.1701 0.8299 Tb
0.0000 0.8299 0.1701 Tb
0.2601 0.4243 0.0744 Pm
0.7888 0.2354 0.2354 Pm
0.7399 0.9256 0.5757 Pm
0.0000 0.5000 0.5000 Pm
0.7399 0.5757 0.9256 Pm
0.2601 0.0744 0.4243 Pm
0.2112 0.7646 0.7646 Pm
```

Output
The space-group type is C2/m. As for the theoretical density: 7.0 Mg/m³. For the calculated total energy, the calculation gives -4.502 eV/atom.

=====

[3]
Material: PrNd3Mg2
Method: DFT, PBE
State: relaxed

Cell and atoms, written as POSCAR:
```
PrNd3Mg2
1.0
-1.7876 1.6481 -2.9443
-2.1823 -3.1060 -0.4137
-8.7820 5.0815 8.1763
Nd Mg Pr
3 2 1
direct
0.0000 0.0000 0.3039 Nd
0.0000 0.0000 0.0000 Nd
0.0000 0.0000 0.6961 Nd
0.5000 0.5000 0.8488 Mg
0.5000 0.5000 0.1512 Mg
0.5000 0.5000 0.5000 Pr
```

Output
The space-group type is P4/mmm. As for the theoretical density: 5.4 Mg/m³. For the calculated total energy, the calculation gives -3.777 eV/atom.

=====

[4]
Material: Yb6Bi
Method: DFT, PBE
State: relaxed

Cell and atoms, written as POSCAR:
```
Yb6Bi
1.0
-2.1965 -7.6354 0.9153
1.6612 3.1717 7.1514
-5.9595 4.0974 -3.4142
Yb Bi
6 1
direct
0.2500 0.5000 0.7500 Yb
0.5000 0.2500 0.7500 Yb
0.7500 0.2500 0.5000 Yb
0.2500 0.7500 0.5000 Yb
0.7500 0.5000 0.2500 Yb
0.5000 0.7500 0.2500 Yb
0.0000 0.0000 0.0000 Bi
```

Output
The space-group type is Im-3m. As for the theoretical density: 5.3 Mg/m³. For the calculated total energy, the calculation gives -0.818 eV/atom.

=====

[5]
Material: Pm7Nd2Y4
Method: DFT, PBE
State: relaxed

Cell and atoms, written as POSCAR:
```
Pm7Nd2Y4
1.0
-3.7363 -3.6161 -6.2389
13.2200 2.1169 6.7141
-0.2914 -4.8300 4.0068
Pm Nd Y
7 2 4
direct
0.4625 0.9232 0.7697 Pm
0.1528 0.3066 0.9249 Pm
0.0000 0.0000 0.0000 Pm
0.2304 0.4611 0.3850 Pm
0.7696 0.5389 0.6150 Pm
0.5375 0.0768 0.2303 Pm
0.8472 0.6934 0.0751 Pm
0.6899 0.3837 0.1540 Nd
0.3101 0.6163 0.8460 Nd
0.0758 0.1526 0.4628 Y
0.3857 0.7703 0.3070 Y
0.9242 0.8474 0.5372 Y
0.6143 0.2297 0.6930 Y
```

Output
The space-group type is P-1. As for the theoretical density: 6.3 Mg/m³. For the calculated total energy, the calculation gives -5.270 eV/atom.

=====

[6]
Material: LiTiCd2F
Method: DFT, PBE
State: relaxed

Cell and atoms, written as POSCAR:
```
LiTiCd2F
1.0
5.6807 0.0000 0.0000
0.0000 3.8277 0.0000
0.0000 0.0000 5.6807
Cd Li F Ti
2 1 1 1
direct
0.5000 0.0000 0.0000 Cd
0.0000 0.0000 0.5000 Cd
0.5000 0.5000 0.5000 Li
0.0000 0.5000 0.0000 F
0.0000 0.0000 0.0000 Ti
```

Output
The space-group type is P4/mmm. As for the uncorrected formation energy: -0.51 eV/atom. As for the theoretical density: 4.0 Mg/m³.

=====

Magnetization? In order: 0.000; 0.000; 0.000; 1.104; 0.000; 0.985 μB per cell.